(1)
Material: Be3PC
Method: DFT, PBE-GGA
State: optimized geometry

The structure belongs to space group Pm-3m (No. 221); the cell edges are 3.974, 3.974 and 3.974 Å and the angles 90.00°, 90.00° and 90.00°. The asymmetric unit holds Be at (0.000, 0.000, 0.500), P at (0.000, 0.000, 0.000) and C at (0.500, 0.500, 0.500).

The value obtained for the formation energy is 1539 meV per atom. The electronic total energy is -18.1 eV per formula unit.

(2)
Material: Be3PC
Method: DFT, PBE-GGA
State: optimized geometry

The structure belongs to space group Pm-3m (No. 221); the cell edges are 3.605, 3.605 and 3.605 Å and the angles 90.00°, 90.00° and 90.00°. The asymmetric unit holds Be at (0.000, 0.000, 0.500), P at (0.500, 0.500, 0.500) and C at (0.000, 0.000, 0.000).

The value obtained for the formation energy is 246 meV per atom. The electronic total energy is -24.6 eV per formula unit.

(3)
Material: BeP3C
Method: DFT, PBE-GGA
State: optimized geometry

The structure belongs to space group Pm-3m (No. 221); the cell edges are 3.989, 3.989 and 3.989 Å and the angles 90.00°, 90.00° and 90.00°. The asymmetric unit holds Be at (0.000, 0.000, 0.000), P at (0.000, 0.500, 0.500) and C at (0.500, 0.500, 0.500).

The value obtained for the formation energy is 1302 meV per atom. The electronic total energy is -22.7 eV per formula unit.

(4)
Material: BeP2C
Method: DFT, PBE-GGA
State: optimized geometry

The structure belongs to space group I-42d (No. 122); the cell edges are 4.672, 4.672 and 8.967 Å and the angles 90.00°, 90.00° and 90.00°. The asymmetric unit holds Be at (0.000, 0.000, 0.000), P at (0.216, 0.250, 0.625) and C at (0.000, 0.000, 0.500).

The value obtained for the formation energy is 66 meV per atom. The electronic total energy is -23.5 eV per formula unit.

(5)
Material: BeP2C
Method: DFT, PBE-GGA
State: optimized geometry

The structure belongs to space group Fm-3m (No. 225); the cell edges are 5.578, 5.578 and 5.578 Å and the angles 90.00°, 90.00° and 90.00°. The asymmetric unit holds Be at (0.000, 0.000, 0.000), P at (0.250, 0.250, 0.250) and C at (0.000, 0.000, 0.500).

The value obtained for the formation energy is 1545 meV per atom. The electronic total energy is -17.6 eV per formula unit.

(6)
Material: BePRh2C
Method: DFT, PBE-GGA
State: optimized geometry

The structure belongs to space group P4/mmm (No. 123); the cell edges are 4.183, 4.183 and 3.722 Å and the angles 90.00°, 90.00° and 90.00°. The asymmetric unit holds Be at (0.000, 0.000, 0.000), P at (0.000, 0.000, 0.500), Rh at (0.000, 0.500, 0.000) and C at (0.500, 0.500, 0.500).

The value obtained for the formation energy is 1362 meV per atom. The electronic total energy is -26.3 eV per formula unit.